The following is a PBE calculation of a relaxed Pm3Er4Ir4 crystal, from Alexandria.

Cell lengths 3.951, 8.606, 9.231 Å; angles 117.78, 102.36, 90.00 degrees
Fractional positions:
Pm (0.102, 0.102, 0.204)
Pm (0.898, 0.898, 0.796)
Pm (0.000, 0.500, 0.000)
Er (0.332, 0.140, 0.663)
Er (0.668, 0.477, 0.337)
Er (0.668, 0.860, 0.337)
Er (0.332, 0.523, 0.663)
Ir (0.242, 0.742, 0.484)
Ir (0.758, 0.258, 0.516)
Ir (0.500, 0.785, 0.000)
Ir (0.500, 0.215, 0.000)

As for the size of the total moment: 0.00 μB/cell. As for the symmetry: No. 71.


The following is a PBE calculation of a relaxed PmEr5Ir6 crystal, from Alexandria.

Cell lengths 4.718, 7.147, 7.471 Å; angles 90.00, 71.60, 90.00 degrees
Fractional positions:
Er (0.667, 0.500, 0.666)
Er (0.332, 0.000, 0.336)
Er (0.000, 0.500, 0.000)
Er (0.668, 0.000, 0.664)
Er (0.333, 0.500, 0.334)
Ir (0.831, 0.747, 0.337)
Ir (0.831, 0.253, 0.337)
Ir (0.500, 0.257, 0.000)
Ir (0.500, 0.743, 0.000)
Ir (0.169, 0.747, 0.663)
Ir (0.169, 0.253, 0.663)
Pm (0.000, 0.000, 0.000)

As for the size of the total moment: 0.00 μB/cell. As for the symmetry: No. 65.


The following is a PBE calculation of a relaxed PmErIr2 crystal, from Alexandria.

Cell lengths 3.334, 4.975, 9.982 Å; angles 90.00, 90.00, 90.00 degrees
Fractional positions:
Pm (0.500, 0.250, 0.872)
Pm (0.500, 0.750, 0.128)
Er (0.500, 0.250, 0.379)
Er (0.500, 0.750, 0.621)
Ir (0.000, 0.250, 0.136)
Ir (0.000, 0.750, 0.864)
Ir (0.000, 0.250, 0.618)
Ir (0.000, 0.750, 0.382)

As for the size of the total moment: 0.00 μB/cell. The offset from the most stable computed form comes out at 0 meV/atom. As for the symmetry: No. 51.


Final energy
In order: -6.842, -7.556, -7.486
Unit: eV/atom
Density of states at the Fermi level
In order: 6.5, 3.6, 5.0
Unit: states/eV/cell